## KCoPO (PBE+U)

Data for a relaxed KCoPO crystal.

abc: 3.5670 3.5670 10.8538
angles: 90.00 90.00 90.00
Closest atoms and distances in Å follow each position.
Sites, in units of the cell vectors:
K: 0.5000 0.0000 0.1698  4 O 2.56
K: 0.0000 0.5000 0.8302  4 O 2.56
Co: 0.5000 0.5000 0.5000  4 P 2.15
Co: 0.0000 0.0000 0.5000  4 P 2.15
O: 0.0000 0.0000 0.0000  4 O 2.52, 4 K 2.56
O: 0.5000 0.5000 0.0000  4 O 2.52, 4 K 2.56
P: 0.5000 0.0000 0.6109  4 Co 2.15
P: 0.0000 0.5000 0.3891  4 Co 2.15

Summary:
- V (Å³ per cell) = 138.1
- total DFT energy (no corrections) (eV/atom) = -4.245
- total magnetization (μB per atom) = 0.03